The following is a DFT calculation (PBE) of an optimized crystal structure of Hg2OsPt.

Properties
Calculated volume = 71.4 Å³/f.u.
DFT formation energy = 646 meV/atom
E above lowest polymorph = 180 meV/atom
Spin magnetization = 1.32 μB per formula unit

```
data_Hg2OsPt
_cell_length_a 2.9370
_cell_length_b 2.9370
_cell_length_c 8.2826
_cell_angle_alpha 90.00
_cell_angle_beta 90.00
_cell_angle_gamma 90.00
_symmetry_space_group_name_H-M 'P 4/m m m'
_symmetry_Int_Tables_number 123
_symmetry_space_group_name_Hall '-P 4 2'
loop_
_atom_site_label
_atom_site_type_symbol
_atom_site_fract_x
_atom_site_fract_y
_atom_site_fract_z
Hg1 Hg 0.0000 0.0000 0.2499
Os1 Os 0.5000 0.5000 0.0000
Pt1 Pt 0.5000 0.5000 0.5000
```